# Ho7Er4Tl, relaxed, DFT PBE-GGA
# Magnetic moment = 0.001 μB per cell
# VASP energy = -4.35 eV/atom
# Space-group type = P-3m1, No. 164
# DFT formation energy = 42 meV per atom
data_Ho7Er4Tl
_chemical_formula_sum 'Ho7 Er4 Tl1'
_cell_length_a 5.508
_cell_length_b 5.508
_cell_length_c 13.898
_cell_angle_alpha 90.00
_cell_angle_beta 90.00
_cell_angle_gamma 120.00
_space_group_name_H-M_alt 'P 1'
_space_group_IT_number 1
loop_
_space_group_symop_operation_xyz
'x,y,z'
loop_
_atom_site_label
_atom_site_type_symbol
_atom_site_fract_x
_atom_site_fract_y
_atom_site_fract_z
_atom_site_occupancy
Ho1 Ho 0.000 0.000 0.000 1
Ho2 Ho 0.000 0.000 0.268 1
Ho3 Ho 0.000 0.000 0.732 1
Ho4 Ho 0.333 0.667 0.173 1
Ho5 Ho 0.333 0.667 0.422 1
Ho6 Ho 0.667 0.333 0.578 1
Ho7 Ho 0.667 0.333 0.827 1
Er1 Er 0.333 0.667 0.690 1
Er2 Er 0.333 0.667 0.929 1
Er3 Er 0.667 0.333 0.071 1
Er4 Er 0.667 0.333 0.310 1
Tl1 Tl 0.000 0.000 0.500 1

=====

# HoEr2Tl6, relaxed, DFT PBE-GGA
# Magnetic moment = 0.000 μB per cell
# VASP energy = -3.27 eV/atom
# Space-group type = C2/c, No. 15
# DFT formation energy = -167 meV per atom
data_HoEr2Tl6
_chemical_formula_sum 'Ho2 Er4 Tl12'
_cell_length_a 8.958
_cell_length_b 8.958
_cell_length_c 6.334
_cell_angle_alpha 91.97
_cell_angle_beta 91.97
_cell_angle_gamma 78.14
_space_group_name_H-M_alt 'P 1'
_space_group_IT_number 1
loop_
_space_group_symop_operation_xyz
'x,y,z'
loop_
_atom_site_label
_atom_site_type_symbol
_atom_site_fract_x
_atom_site_fract_y
_atom_site_fract_z
_atom_site_occupancy
Ho1 Ho 0.120 0.880 0.750 1
Ho2 Ho 0.880 0.120 0.250 1
Er1 Er 0.213 0.453 0.583 1
Er2 Er 0.453 0.213 0.083 1
Er3 Er 0.547 0.787 0.917 1
Er4 Er 0.787 0.547 0.417 1
Tl1 Tl 0.022 0.755 0.305 1
Tl2 Tl 0.089 0.355 0.139 1
Tl3 Tl 0.245 0.978 0.195 1
Tl4 Tl 0.313 0.578 0.027 1
Tl5 Tl 0.355 0.089 0.639 1
Tl6 Tl 0.422 0.687 0.473 1
Tl7 Tl 0.578 0.313 0.527 1
Tl8 Tl 0.645 0.911 0.361 1
Tl9 Tl 0.687 0.422 0.973 1
Tl10 Tl 0.755 0.022 0.805 1
Tl11 Tl 0.911 0.645 0.861 1
Tl12 Tl 0.978 0.245 0.695 1

=====

# Ho5ErTl2, relaxed, DFT PBE-GGA
# Magnetic moment = 0.005 μB per cell
# VASP energy = -4.13 eV/atom
# Space-group type = Immm, No. 71
# DFT formation energy = -102 meV per atom
data_Ho5ErTl2
_chemical_formula_sum 'Ho5 Er1 Tl2'
_cell_length_a 8.400
_cell_length_b 8.400
_cell_length_c 8.400
_cell_angle_alpha 155.46
_cell_angle_beta 103.11
_cell_angle_gamma 82.15
_space_group_name_H-M_alt 'P 1'
_space_group_IT_number 1
loop_
_space_group_symop_operation_xyz
'x,y,z'
loop_
_atom_site_label
_atom_site_type_symbol
_atom_site_fract_x
_atom_site_fract_y
_atom_site_fract_z
_atom_site_occupancy
Ho1 Ho 0.000 0.000 0.000 1
Ho2 Ho 0.097 0.367 0.730 1
Ho3 Ho 0.363 0.633 0.730 1
Ho4 Ho 0.637 0.367 0.270 1
Ho5 Ho 0.903 0.633 0.270 1
Er1 Er 0.500 0.000 0.500 1
Tl1 Tl 0.260 0.260 0.000 1
Tl2 Tl 0.740 0.740 0.000 1

=====

# Ho6ErTl2, relaxed, DFT PBE-GGA
# Magnetic moment = 0.000 μB per cell
# VASP energy = -4.17 eV/atom
# Space-group type = C2/c, No. 15
# Energy above the most stable polymorph in this dataset = 59 meV per atom
# DFT formation energy = -87 meV per atom
data_Ho6ErTl2
_chemical_formula_sum 'Ho12 Er2 Tl4'
_cell_length_a 9.533
_cell_length_b 9.533
_cell_length_c 6.089
_cell_angle_alpha 94.40
_cell_angle_beta 94.40
_cell_angle_gamma 73.68
_space_group_name_H-M_alt 'P 1'
_space_group_IT_number 1
loop_
_space_group_symop_operation_xyz
'x,y,z'
loop_
_atom_site_label
_atom_site_type_symbol
_atom_site_fract_x
_atom_site_fract_y
_atom_site_fract_z
_atom_site_occupancy
Ho1 Ho 0.074 0.815 0.989 1
Ho2 Ho 0.145 0.402 0.164 1
Ho3 Ho 0.185 0.926 0.511 1
Ho4 Ho 0.233 0.525 0.688 1
Ho5 Ho 0.402 0.145 0.664 1
Ho6 Ho 0.475 0.767 0.812 1
Ho7 Ho 0.525 0.233 0.188 1
Ho8 Ho 0.598 0.855 0.336 1
Ho9 Ho 0.767 0.475 0.312 1
Ho10 Ho 0.815 0.074 0.489 1
Ho11 Ho 0.855 0.598 0.836 1
Ho12 Ho 0.926 0.185 0.011 1
Er1 Er 0.400 0.600 0.250 1
Er2 Er 0.600 0.400 0.750 1
Tl1 Tl 0.038 0.280 0.586 1
Tl2 Tl 0.280 0.038 0.086 1
Tl3 Tl 0.720 0.962 0.914 1
Tl4 Tl 0.962 0.720 0.414 1

=====

# HoEr12Tl3, relaxed, DFT PBE-GGA
# Magnetic moment = 0.000 μB per cell
# VASP energy = -4.27 eV/atom
# Space-group type = P4/mmm, No. 123
# DFT formation energy = -119 meV per atom
data_HoEr12Tl3
_chemical_formula_sum 'Ho1 Er12 Tl3'
_cell_length_a 4.824
_cell_length_b 4.824
_cell_length_c 19.656
_cell_angle_alpha 90.00
_cell_angle_beta 90.00
_cell_angle_gamma 90.00
_space_group_name_H-M_alt 'P 1'
_space_group_IT_number 1
loop_
_space_group_symop_operation_xyz
'x,y,z'
loop_
_atom_site_label
_atom_site_type_symbol
_atom_site_fract_x
_atom_site_fract_y
_atom_site_fract_z
_atom_site_occupancy
Ho1 Ho 0.000 0.000 0.000 1
Er1 Er 0.000 0.500 0.129 1
Er2 Er 0.000 0.500 0.377 1
Er3 Er 0.000 0.500 0.623 1
Er4 Er 0.000 0.500 0.871 1
Er5 Er 0.500 0.000 0.129 1
Er6 Er 0.500 0.000 0.377 1
Er7 Er 0.500 0.000 0.623 1
Er8 Er 0.500 0.000 0.871 1
Er9 Er 0.500 0.500 0.000 1
Er10 Er 0.500 0.500 0.254 1
Er11 Er 0.500 0.500 0.500 1
Er12 Er 0.500 0.500 0.746 1
Tl1 Tl 0.000 0.000 0.256 1
Tl2 Tl 0.000 0.000 0.500 1
Tl3 Tl 0.000 0.000 0.744 1

=====

# HoEr2Tl3, relaxed, DFT PBE-GGA
# Magnetic moment = 0.001 μB per cell
# VASP energy = -3.79 eV/atom
# Space-group type = P4/mmm, No. 123
# DFT formation energy = -322 meV per atom
data_HoEr2Tl3
_chemical_formula_sum 'Ho1 Er2 Tl3'
_cell_length_a 3.637
_cell_length_b 3.637
_cell_length_c 12.203
_cell_angle_alpha 90.00
_cell_angle_beta 90.00
_cell_angle_gamma 90.00
_space_group_name_H-M_alt 'P 1'
_space_group_IT_number 1
loop_
_space_group_symop_operation_xyz
'x,y,z'
loop_
_atom_site_label
_atom_site_type_symbol
_atom_site_fract_x
_atom_site_fract_y
_atom_site_fract_z
_atom_site_occupancy
Ho1 Ho 0.000 0.000 0.000 1
Er1 Er 0.000 0.000 0.334 1
Er2 Er 0.000 0.000 0.666 1
Tl1 Tl 0.500 0.500 0.168 1
Tl2 Tl 0.500 0.500 0.500 1
Tl3 Tl 0.500 0.500 0.832 1

=====

# Ho3ErTl2, relaxed, DFT PBE-GGA
# Magnetic moment = 1.512 μB per cell
# VASP energy = -4.04 eV/atom
# Space-group type = Ibam, No. 72
# Energy above the most stable polymorph in this dataset = 64 meV per atom
# DFT formation energy = -200 meV per atom
data_Ho3ErTl2
_chemical_formula_sum 'Ho6 Er2 Tl4'
_cell_length_a 9.464
_cell_length_b 9.464
_cell_length_c 9.464
_cell_angle_alpha 139.85
_cell_angle_beta 58.08
_cell_angle_gamma 139.85
_space_group_name_H-M_alt 'P 1'
_space_group_IT_number 1
loop_
_space_group_symop_operation_xyz
'x,y,z'
loop_
_atom_site_label
_atom_site_type_symbol
_atom_site_fract_x
_atom_site_fract_y
_atom_site_fract_z
_atom_site_occupancy
Ho1 Ho 0.176 0.749 0.925 1
Ho2 Ho 0.250 0.250 0.000 1
Ho3 Ho 0.324 0.249 0.573 1
Ho4 Ho 0.676 0.751 0.427 1
Ho5 Ho 0.750 0.750 0.000 1
Ho6 Ho 0.824 0.251 0.075 1
Er1 Er 0.250 0.750 0.500 1
Er2 Er 0.750 0.250 0.500 1
Tl1 Tl 0.137 0.250 0.387 1
Tl2 Tl 0.363 0.750 0.114 1
Tl3 Tl 0.637 0.250 0.886 1
Tl4 Tl 0.863 0.750 0.613 1

=====

# Ho8ErTl2, relaxed, DFT PBE-GGA
# Magnetic moment = 0.000 μB per cell
# VASP energy = -4.17 eV/atom
# Space-group type = C2/m, No. 12
# DFT formation energy = 2 meV per atom
data_Ho8ErTl2
_chemical_formula_sum 'Ho8 Er1 Tl2'
_cell_length_a 8.767
_cell_length_b 8.767
_cell_length_c 5.541
_cell_angle_alpha 101.63
_cell_angle_beta 101.63
_cell_angle_gamma 119.41
_space_group_name_H-M_alt 'P 1'
_space_group_IT_number 1
loop_
_space_group_symop_operation_xyz
'x,y,z'
loop_
_atom_site_label
_atom_site_type_symbol
_atom_site_fract_x
_atom_site_fract_y
_atom_site_fract_z
_atom_site_occupancy
Ho1 Ho 0.095 0.322 0.618 1
Ho2 Ho 0.216 0.784 0.000 1
Ho3 Ho 0.322 0.095 0.618 1
Ho4 Ho 0.400 0.400 0.202 1
Ho5 Ho 0.600 0.600 0.798 1
Ho6 Ho 0.678 0.905 0.382 1
Ho7 Ho 0.784 0.216 0.000 1
Ho8 Ho 0.905 0.678 0.382 1
Er1 Er 0.000 0.000 0.000 1
Tl1 Tl 0.306 0.694 0.500 1
Tl2 Tl 0.694 0.306 0.500 1

=====

What did the fifth record say?
# HoEr12Tl3, relaxed, DFT PBE-GGA
# Magnetic moment = 0.000 μB per cell
# VASP energy = -4.27 eV/atom
# Space-group type = P4/mmm, No. 123
# DFT formation energy = -119 meV per atom
data_HoEr12Tl3
_chemical_formula_sum 'Ho1 Er12 Tl3'
_cell_length_a 4.824
_cell_length_b 4.824
_cell_length_c 19.656
_cell_angle_alpha 90.00
_cell_angle_beta 90.00
_cell_angle_gamma 90.00
_space_group_name_H-M_alt 'P 1'
_space_group_IT_number 1
loop_
_space_group_symop_operation_xyz
'x,y,z'
loop_
_atom_site_label
_atom_site_type_symbol
_atom_site_fract_x
_atom_site_fract_y
_atom_site_fract_z
_atom_site_occupancy
Ho1 Ho 0.000 0.000 0.000 1
Er1 Er 0.000 0.500 0.129 1
Er2 Er 0.000 0.500 0.377 1
Er3 Er 0.000 0.500 0.623 1
Er4 Er 0.000 0.500 0.871 1
Er5 Er 0.500 0.000 0.129 1
Er6 Er 0.500 0.000 0.377 1
Er7 Er 0.500 0.000 0.623 1
Er8 Er 0.500 0.000 0.871 1
Er9 Er 0.500 0.500 0.000 1
Er10 Er 0.500 0.500 0.254 1
Er11 Er 0.500 0.500 0.500 1
Er12 Er 0.500 0.500 0.746 1
Tl1 Tl 0.000 0.000 0.256 1
Tl2 Tl 0.000 0.000 0.500 1
Tl3 Tl 0.000 0.000 0.744 1

=====

Question: What is the formula in the sixth record?
Answer: HoEr2Tl3

=====

Question: Look up the VASP energy of the eighth one.
Answer: -4.17 eV/atom